No. 1
Here is a relaxed Ca2ZnCu crystal from the Alexandria database. Energies are from PBE.

POSCAR file:
```
Ca2ZnCu
1.0
3.585 0.000 0.000
0.000 3.641 0.066
0.000 3.561 7.348
Zn Ca Cu
1 2 1
Direct
0.500 0.750 0.750 Zn
0.000 0.992 0.007 Ca
0.000 0.508 0.493 Ca
0.500 0.250 0.250 Cu
```



No. 2
Here is a relaxed Ca2ZnCu crystal from the Alexandria database. Energies are from PBE.

POSCAR file:
```
Ca2ZnCu
1.0
4.204 0.000 0.931
2.000 3.699 0.927
0.564 0.361 7.411
Zn Cu Ca
1 1 2
Direct
0.469 0.232 0.829 Zn
0.136 0.899 0.830 Cu
0.891 0.654 0.564 Ca
0.714 0.477 0.095 Ca
```



No. 3
Here is a relaxed Ca2Zn2Cu crystal from the Alexandria database. Energies are from PBE.

POSCAR file:
```
Ca2Zn2Cu
1.0
7.998 0.000 0.000
0.000 7.998 0.000
0.000 0.000 4.079
Zn Ca Cu
4 4 2
Direct
0.618 0.882 0.500 Zn
0.118 0.618 0.500 Zn
0.382 0.118 0.500 Zn
0.882 0.382 0.500 Zn
0.324 0.824 0.000 Ca
0.824 0.676 0.000 Ca
0.176 0.324 0.000 Ca
0.676 0.176 0.000 Ca
0.000 0.000 0.000 Cu
0.500 0.500 0.000 Cu
```

Computed properties:
**ΔE to the lowest computed polymorph**: 35.59 kJ per mole of atoms



No. 4
Here is a relaxed Ca2ZnCu crystal from the Alexandria database. Energies are from PBE.

POSCAR file:
```
Ca2ZnCu
1.0
4.954 0.000 0.000
2.477 4.290 0.000
2.477 1.430 4.045
Ca Cu Zn
2 1 1
Direct
0.000 0.000 0.000 Ca
0.250 0.250 0.250 Ca
0.500 0.500 0.500 Cu
0.750 0.750 0.750 Zn
```



No. 5
Here is a relaxed CaZn12Cu4 crystal from the Alexandria database. Energies are from PBE.

POSCAR file:
```
CaZn12Cu4
1.0
7.401 0.000 0.000
-2.467 6.978 0.000
-2.467 -3.489 6.043
Ca Zn Cu
1 12 4
Direct
0.000 0.000 0.000 Ca
0.157 0.649 0.806 Zn
0.508 0.157 0.351 Zn
0.649 0.492 0.843 Zn
0.351 0.194 0.843 Zn
0.492 0.843 0.649 Zn
0.843 0.649 0.492 Zn
0.351 0.508 0.157 Zn
0.806 0.157 0.649 Zn
0.194 0.843 0.351 Zn
0.649 0.806 0.157 Zn
0.843 0.351 0.194 Zn
0.157 0.351 0.508 Zn
0.000 0.500 0.000 Cu
0.500 0.500 0.500 Cu
0.500 0.000 0.000 Cu
0.000 0.000 0.500 Cu
```



No. 6
Here is a relaxed Ca3Zn4Cu2 crystal from the Alexandria database. Energies are from PBE.

POSCAR file:
```
Ca3Zn4Cu2
1.0
-0.190 4.304 1.214
-1.139 -0.812 -5.550
-7.203 -1.553 4.379
Zn Ca Cu
4 3 2
Direct
0.276 0.552 0.933 Zn
0.902 0.803 0.580 Zn
0.098 0.197 0.420 Zn
0.724 0.448 0.067 Zn
0.000 0.000 0.000 Ca
0.640 0.280 0.686 Ca
0.360 0.720 0.314 Ca
0.655 0.310 0.320 Cu
0.345 0.690 0.680 Cu
```



No. 7
Here is a relaxed Ca2ZnCu crystal from the Alexandria database. Energies are from PBE.

POSCAR file:
```
Ca2ZnCu
1.0
6.068 -0.016 0.027
2.872 5.345 -0.027
-3.951 -3.535 2.952
Ca Cu Zn
2 1 1
Direct
0.018 0.018 0.000 Ca
0.722 0.222 0.500 Ca
0.464 0.464 0.000 Cu
0.296 0.796 0.500 Zn
```



No. 8
Here is a relaxed Ca3ZnCu crystal from the Alexandria database. Energies are from PBE.

POSCAR file:
```
Ca3ZnCu
1.0
-2.028 5.835 0.682
-3.076 1.147 5.277
5.094 4.526 5.780
Cu Ca Zn
2 6 2
Direct
0.686 0.314 0.500 Cu
0.314 0.686 0.500 Cu
0.296 0.296 0.836 Ca
0.013 0.013 0.258 Ca
0.987 0.987 0.742 Ca
0.692 0.692 0.639 Ca
0.704 0.704 0.164 Ca
0.308 0.308 0.361 Ca
0.305 0.695 0.000 Zn
0.695 0.305 0.000 Zn
```

Computed properties:
**ΔE to the lowest computed polymorph**: 0.00 kJ per mole of atoms



No. 9
Here is a relaxed Ca3Zn2Cu6 crystal from the Alexandria database. Energies are from PBE.

POSCAR file:
```
Ca3Zn2Cu6
1.0
7.550 0.000 -2.669
-3.775 6.539 -2.669
0.000 0.000 8.008
Cu Ca Zn
12 6 4
Direct
0.331 0.669 0.000 Cu
0.669 0.669 0.338 Cu
0.669 0.331 0.000 Cu
0.331 0.000 0.669 Cu
0.331 0.662 0.331 Cu
0.000 0.669 0.331 Cu
0.338 0.669 0.669 Cu
0.669 0.338 0.669 Cu
0.669 0.000 0.331 Cu
0.662 0.331 0.331 Cu
0.000 0.331 0.669 Cu
0.331 0.331 0.662 Cu
0.000 0.288 0.288 Ca
0.000 0.712 0.712 Ca
0.288 0.288 0.000 Ca
0.288 0.000 0.288 Ca
0.712 0.712 0.000 Ca
0.712 0.000 0.712 Ca
0.000 0.500 0.000 Zn
0.500 0.500 0.500 Zn
0.500 0.000 0.000 Zn
0.000 0.000 0.500 Zn
```



No. 10
Here is a relaxed Ca2ZnCu crystal from the Alexandria database. Energies are from PBE.

POSCAR file:
```
Ca2ZnCu
1.0
-2.063 6.447 -3.644
-0.920 3.760 -6.642
-4.736 3.500 -4.942
Cu Ca Zn
1 2 1
Direct
0.250 0.250 0.250 Cu
0.508 0.508 0.508 Ca
0.992 0.992 0.992 Ca
0.750 0.750 0.750 Zn
```



No. 11
Here is a relaxed Ca5Zn5Cu2 crystal from the Alexandria database. Energies are from PBE.

POSCAR file:
```
Ca5Zn5Cu2
1.0
-1.310 0.306 4.185
-2.433 -7.246 2.077
7.203 -1.962 4.707
Cu Ca Zn
2 5 5
Direct
0.152 0.456 0.240 Cu
0.848 0.544 0.760 Cu
0.614 0.692 0.081 Ca
0.300 0.073 0.327 Ca
0.386 0.308 0.919 Ca
0.500 0.500 0.500 Ca
0.700 0.927 0.673 Ca
0.763 0.299 0.174 Zn
0.237 0.701 0.826 Zn
0.000 0.000 0.000 Zn
0.050 0.234 0.667 Zn
0.950 0.766 0.333 Zn
```



No. 12
Here is a relaxed Ca3Zn3Cu8 crystal from the Alexandria database. Energies are from PBE.

POSCAR file:
```
Ca3Zn3Cu8
1.0
-0.917 0.601 4.124
2.469 -6.600 3.719
7.020 1.080 3.611
Cu Ca Zn
8 3 3
Direct
0.178 0.470 0.173 Cu
0.376 0.345 0.903 Cu
0.822 0.827 0.530 Cu
0.822 0.530 0.827 Cu
0.624 0.097 0.655 Cu
0.376 0.903 0.345 Cu
0.624 0.655 0.097 Cu
0.178 0.173 0.470 Cu
0.198 0.802 0.802 Ca
0.500 0.500 0.500 Ca
0.802 0.198 0.198 Ca
0.500 0.000 0.000 Zn
0.000 0.222 0.778 Zn
0.000 0.778 0.222 Zn
```



Computed values of total DFT energy (no corrections) (unit: eV per cell) for the preceding records, in sequence: -9.94, -10.03, -19.91, -9.14, -30.91, -21.23, -9.75, -24.03, -69.80, -9.35, -26.91, -44.48.